Record 1
SrPd2Au | Alexandria | PBE | relaxed; ΔE_f = -102 kJ/mol of formula units; Fermi-level density of states = 3.48 states/eV per cell; DFT total energy = -4.10 eV per atom; E above lowest polymorph = 32.6 kJ per mole of atoms
1.0
-2.0343 -4.0116 -0.6181
4.0578 -1.9935 -0.4168
1.2142 -4.5466 8.8377
Au Pd Sr
2 4 2
Cartesian
0.0958 -5.7804 3.8511
0.0000 0.0000 0.0000
2.7958 -2.4692 1.9356
1.2498 -5.4557 6.2833
-0.6711 -4.3079 1.7071
3.1008 -8.8706 5.6797
1.0117 -3.0026 -0.5174
3.1419 -4.7713 3.9517

---

Record 2
CeNi6Ge4 | Alexandria | PBE | relaxed; ΔE_f = -491 kJ/mol of formula units; Fermi-level density of states = 11.57 states/eV per cell; DFT total energy = -5.83 eV per atom
1.0
-1.2791 2.7039 2.4139
-5.1691 1.3427 -4.2431
-0.7307 -4.7055 4.8837
Ge Ni Ce
4 6 1
Cartesian
-2.2102 -2.6894 1.8414
-2.7923 0.9591 0.5063
-5.2498 -0.4416 0.7731
-4.9454 1.5184 -1.2611
-2.8312 0.3712 -1.9160
-2.2834 -2.1092 4.2129
-3.1150 -1.4564 -0.0192
-4.2621 -1.5952 2.5887
-2.0037 -0.3080 2.3435
-5.1226 -0.9349 -1.6672
0.0000 0.0000 0.0000

---

Record 3
LiZn3Pt | Alexandria | PBE | relaxed; ΔE_f = -174 kJ/mol of formula units; Fermi-level density of states = 2.88 states/eV per cell; DFT total energy = -2.72 eV per atom; E above lowest polymorph = 7.3 kJ per mole of atoms
1.0
4.3875 -0.4759 0.0000
-1.5046 6.5768 0.0000
0.0000 0.0000 5.2143
Pt Zn Li
2 6 2
Cartesian
1.2596 1.4822 1.3036
1.6232 4.6187 3.9107
3.3729 0.4329 5.1911
-0.4901 5.6680 2.5840
1.5557 4.2258 1.3036
3.3729 0.4329 2.6303
1.3271 1.8751 3.9107
-0.4901 5.6680 0.0231
-0.7231 3.4020 3.9107
3.6059 2.6989 1.3036

---

Record 4
K2CrCo | Alexandria | PBE | relaxed; ΔE_f = 305 kJ/mol of formula units; Fermi-level density of states = 5.84 states/eV per cell; DFT total energy = -3.94 eV per atom; E above lowest polymorph = 0.7 kJ per mole of atoms
1.0
3.3556 0.0075 0.0000
-0.0094 3.3556 0.0000
0.0000 0.0000 10.2391
Cr Co K
1 1 2
Cartesian
1.6731 1.6816 6.6794
0.0000 0.0000 6.0787
1.6731 1.6816 3.4233
0.0000 0.0000 9.4162